! Na3Pt | the Alexandria database | GGA-PBE | relaxed; values from VASP
&SYSTEM
  ibrav = 0, nat = 4, ntyp = 2
/
ATOMIC_SPECIES
Na 22.99 Na.upf
Pt 195.08 Pt.upf
CELL_PARAMETERS angstrom
1.535 0.886 11.501
-1.535 0.886 11.501
0.000 -1.772 11.501
ATOMIC_POSITIONS crystal
Na 0.000 0.000 0.000
Na 0.234 0.234 0.234
Na 0.766 0.766 0.766
Pt 0.500 0.500 0.500
! Calculated volume, A^3/atom: 23.5
! Formation energy, eV/atom: 0.071
! Total energy, eV/atom: -2.429